Entry 1:
Compound: Mn2HgSb
Source: Alexandria
Functional: PBE
Structure: optimized geometry

POSCAR file:
```
Mn2HgSb
1.0
3.118 0.000 0.000
0.000 3.118 0.000
0.000 0.000 8.087
Mn Hg Sb
2 1 1
Cartesian
0.000 0.000 0.000 Mn
1.559 1.559 1.293 Mn
1.559 1.559 6.200 Hg
0.000 0.000 3.199 Sb
```

Properties
**Space group**: P4mm (99)
**Formation energy from raw total energies**: 246.3 meV per atom

***

Entry 2:
Compound: Th5FeHg2
Source: Alexandria
Functional: PBE
Structure: optimized geometry

POSCAR file:
```
Th5FeHg2
1.0
8.383 0.000 0.000
0.000 12.041 0.000
0.000 0.000 4.518
Th Fe Hg
10 2 4
Cartesian
0.000 0.000 0.000 Th
1.091 3.619 0.000 Th
1.515 6.821 2.259 Th
2.676 0.801 2.259 Th
3.100 9.640 0.000 Th
4.191 6.021 0.000 Th
5.283 2.401 0.000 Th
5.707 11.240 2.259 Th
6.867 5.220 2.259 Th
7.291 8.422 0.000 Th
0.000 6.021 0.000 Fe
4.191 0.000 0.000 Fe
0.729 9.956 2.259 Hg
3.462 3.936 2.259 Hg
4.921 8.105 2.259 Hg
7.653 2.085 2.259 Hg
```

Properties
**Space group**: Pbam (55)
**ΔE_f**: -3.180 kcal/mol of atoms

***

Entry 3:
Compound: La2CdNi3Ge4
Source: Alexandria
Functional: PBE
Structure: optimized geometry

POSCAR file:
```
La2CdNi3Ge4
1.0
4.273 0.000 0.000
0.000 4.273 0.000
0.000 0.000 10.217
La Cd Ni Ge
2 1 3 4
Cartesian
0.000 2.137 2.425 La
2.137 0.000 7.792 La
0.000 0.000 5.109 Cd
0.000 2.137 9.064 Ni
2.137 0.000 1.153 Ni
2.137 2.137 5.109 Ni
0.000 0.000 0.000 Ge
0.000 2.137 6.679 Ge
2.137 0.000 3.538 Ge
2.137 2.137 0.000 Ge
```

Properties
**Space group**: P-4m2 (115)
**ΔE_f**: -14.268 kcal/mol of atoms

***

Entry 4:
Compound: CeSm5Ge4
Source: Alexandria
Functional: PBE
Structure: optimized geometry

POSCAR file:
```
CeSm5Ge4
1.0
7.768 -2.547 0.000
7.768 2.547 0.000
-0.062 0.000 7.010
Ce Sm Ge
1 5 4
Cartesian
0.000 0.000 0.000 Ce
-0.031 0.000 3.505 Sm
5.139 0.000 6.990 Sm
5.186 0.000 3.599 Sm
10.289 0.000 3.411 Sm
10.336 0.000 0.020 Sm
2.764 0.000 1.752 Ge
7.602 0.000 1.766 Ge
7.873 0.000 5.244 Ge
12.711 0.000 5.258 Ge
```

Properties
**Space group**: C2/m (12)
**ΔE_f**: -13.990 kcal/mol of atoms

***

Entry 5:
Compound: LiHgP2O
Source: Alexandria
Functional: PBE
Structure: optimized geometry

POSCAR file:
```
LiHgP2O
1.0
4.843 0.000 0.000
0.000 4.843 0.000
0.000 0.000 3.358
Li Hg P O
1 1 2 1
Cartesian
0.000 0.000 0.000 Li
2.421 2.421 1.679 Hg
0.000 2.421 0.000 P
2.421 0.000 0.000 P
0.000 0.000 1.679 O
```

Properties
**Space group**: P4/mmm (123)
**Formation energy from raw total energies**: 490.3 meV per atom

***

Entry 6:
Compound: KNa2AlGa
Source: Alexandria
Functional: PBE
Structure: optimized geometry

POSCAR file:
```
KNa2AlGa
1.0
5.813 0.000 0.000
0.000 5.813 0.000
0.000 0.000 4.958
K Na Al Ga
1 2 1 1
Cartesian
0.000 0.000 0.000 K
0.000 2.907 2.479 Na
2.907 0.000 2.479 Na
2.907 2.907 0.000 Al
2.907 2.907 2.479 Ga
```

Properties
**Space group**: P4/mmm (123)
**ΔE_f**: 2.626 kcal/mol of atoms

***

Entry 7:
Compound: K2TaNi
Source: Alexandria
Functional: PBE
Structure: optimized geometry

POSCAR file:
```
K2TaNi
1.0
3.877 0.000 0.000
0.000 3.877 0.000
0.000 0.000 6.013
K Ta Ni
2 1 1
Cartesian
0.000 1.939 0.000 K
1.939 0.000 0.000 K
0.000 0.000 3.007 Ta
1.939 1.939 3.007 Ni
```

Properties
**Space group**: P4/mmm (123)
**ΔE_f**: 29.906 kcal/mol of atoms

***

Entry 8:
Compound: SiOsPt2
Source: Alexandria
Functional: PBE
Structure: optimized geometry

POSCAR file:
```
SiOsPt2
1.0
2.855 0.000 0.000
0.000 3.985 0.000
-1.257 0.000 5.190
Si Os Pt
1 1 2
Cartesian
0.000 0.000 0.000 Si
-0.628 0.000 2.595 Os
0.759 1.992 1.239 Pt
0.839 1.992 3.951 Pt
```

Properties
**Space group**: P2/m (10)
**Formation energy from raw total energies**: -12.1 meV per atom

***

Entry 9:
Compound: La2PuSe3
Source: Alexandria
Functional: PBE
Structure: optimized geometry

POSCAR file:
```
La2PuSe3
1.0
0.000 6.027 12.765
4.270 0.000 12.765
4.270 6.027 0.000
La Pu Se
8 4 12
Cartesian
1.067 1.507 1.091 La
3.202 4.520 3.162 La
1.067 1.507 5.292 La
5.337 7.533 9.544 La
3.202 4.520 15.987 La
7.472 10.547 20.239 La
5.337 7.533 22.369 La
7.472 10.547 24.440 La
3.202 4.520 7.446 Pu
3.202 4.520 11.702 Pu
5.337 7.533 13.829 Pu
5.337 7.533 18.085 Pu
3.244 1.559 7.401 Se
5.254 4.520 9.574 Se
3.161 1.559 11.747 Se
5.296 4.572 13.784 Se
7.389 7.533 15.957 Se
5.379 4.572 18.130 Se
3.161 7.481 7.401 Se
1.151 4.520 9.574 Se
3.244 7.481 11.747 Se
5.379 10.495 13.784 Se
3.286 7.533 15.957 Se
5.296 10.495 18.130 Se
```

Properties
**Space group**: Fddd (70)
**Formation energy from raw total energies**: -1843.2 meV per atom

***

Entry 10:
Compound: MgTl2GeO4
Source: Alexandria
Functional: PBE
Structure: optimized geometry

POSCAR file:
```
MgTl2GeO4
1.0
0.000 5.862 10.417
2.653 0.000 10.417
2.653 5.862 0.000
Mg Tl Ge O
2 4 2 8
Cartesian
0.663 1.465 2.604 Mg
4.642 10.258 18.229 Mg
1.989 4.396 1.296 Tl
3.316 7.327 6.504 Tl
1.989 4.396 14.329 Tl
3.316 7.327 19.537 Tl
1.989 4.396 7.812 Ge
3.316 7.327 13.021 Ge
3.180 3.299 7.024 O
3.180 5.494 8.601 O
4.506 6.230 13.809 O
4.506 8.425 12.233 O
0.799 3.299 8.601 O
0.799 5.494 7.024 O
2.125 6.230 12.233 O
2.125 8.425 13.809 O
```

Properties
**Space group**: Fddd (70)
**Formation energy from raw total energies**: -1380.8 meV per atom

***

Entry 11:
Compound: AlZnH16NO6F6
Source: Alexandria
Functional: PBE
Structure: optimized geometry

POSCAR file:
```
AlZnH16NO6F6
1.0
12.593 0.000 0.000
0.000 6.636 0.000
-1.265 0.000 12.966
Al Zn H N O F
4 4 64 4 24 24
Cartesian
0.000 0.000 0.000 Al
-0.632 3.318 6.483 Al
6.297 0.000 0.000 Al
5.664 3.318 6.483 Al
2.011 0.179 8.972 Zn
2.643 3.139 2.488 Zn
8.685 3.497 10.478 Zn
9.318 6.457 3.995 Zn
-0.521 0.710 8.168 H
0.111 2.608 1.685 H
0.223 4.182 1.546 H
-0.409 5.771 8.029 H
1.211 1.419 3.948 H
0.578 1.898 10.432 H
1.551 0.654 2.574 H
0.919 2.663 9.057 H
1.509 4.164 4.716 H
0.877 5.790 11.199 H
1.482 1.261 6.552 H
2.114 2.057 0.069 H
2.125 4.396 7.940 H
2.758 5.557 1.457 H
2.931 3.544 5.126 H
2.299 6.409 11.609 H
3.559 1.562 0.432 H
2.927 1.756 6.915 H
3.519 0.275 4.123 H
2.886 3.042 10.606 H
3.427 0.014 5.759 H
2.795 3.304 12.242 H
3.653 4.940 7.898 H
4.285 5.014 1.414 H
3.794 4.311 11.303 H
4.426 5.643 4.819 H
4.855 0.631 5.125 H
4.222 2.687 11.608 H
4.480 0.311 10.103 H
4.594 1.449 8.957 H
5.227 1.869 2.474 H
5.112 3.007 3.620 H
6.216 3.629 9.347 H
6.102 4.767 10.493 H
6.734 5.186 4.009 H
6.849 6.325 2.863 H
7.106 3.949 1.358 H
6.474 6.005 7.842 H
6.903 0.993 8.147 H
7.535 2.325 1.664 H
7.044 1.622 11.552 H
7.676 1.696 5.069 H
8.534 3.331 0.724 H
7.902 6.622 7.207 H
8.442 3.593 2.360 H
7.810 6.360 8.844 H
8.402 4.880 6.052 H
7.770 5.073 12.535 H
9.030 0.226 1.357 H
8.398 3.091 7.841 H
8.571 1.078 11.509 H
9.203 2.239 5.026 H
9.215 4.579 12.897 H
9.847 5.375 6.414 H
10.452 0.846 1.767 H
9.819 2.472 8.250 H
10.410 3.972 3.910 H
9.778 5.981 10.393 H
10.750 4.737 2.535 H
10.118 5.216 9.018 H
11.738 0.865 4.937 H
11.105 2.453 11.420 H
11.217 4.028 11.282 H
11.850 5.926 4.799 H
3.436 3.350 11.427 N
4.069 6.604 4.944 N
7.260 0.032 8.023 N
7.892 3.286 1.540 N
0.606 3.403 2.017 O
-0.027 6.550 8.500 O
1.930 1.213 3.310 O
1.298 2.105 9.793 O
2.436 3.985 4.388 O
1.804 5.968 10.872 O
2.321 0.967 7.005 O
2.954 2.351 0.522 O
2.795 4.969 8.395 O
3.428 4.984 1.912 O
3.973 0.873 9.466 O
4.606 2.445 2.983 O
6.723 4.191 9.984 O
7.355 5.763 3.501 O
7.901 1.652 11.054 O
8.533 1.666 4.571 O
8.375 4.285 12.445 O
9.007 5.669 5.961 O
9.525 0.667 2.095 O
8.892 2.651 8.578 O
10.031 4.531 3.173 O
9.399 5.422 9.656 O
11.355 0.085 4.466 O
10.723 3.232 10.949 O
0.088 4.572 5.366 F
-0.544 5.382 11.849 F
-0.335 1.356 12.091 F
0.297 1.961 5.608 F
0.756 3.523 7.654 F
1.388 6.431 1.171 F
3.256 0.401 12.817 F
3.889 2.917 6.334 F
5.222 4.918 7.256 F
5.854 5.036 0.773 F
5.621 4.132 4.808 F
4.988 5.821 11.291 F
6.340 0.815 1.676 F
5.708 2.503 8.159 F
5.475 1.600 12.193 F
6.107 1.718 5.710 F
7.440 3.719 6.632 F
8.072 6.235 0.149 F
9.941 0.205 11.795 F
10.573 3.113 5.312 F
11.032 4.674 7.359 F
11.664 5.279 0.876 F
11.873 1.254 1.117 F
11.241 2.064 7.601 F
```

Properties
**Space group**: P2_1/c (14)

***

Entry 12:
Compound: Ac2La6Tb
Source: Alexandria
Functional: PBE
Structure: optimized geometry

POSCAR file:
```
Ac2La6Tb
1.0
7.873 -5.180 0.000
7.873 5.180 0.000
-4.357 0.000 8.372
Ac La Tb
4 12 2
Cartesian
0.688 0.906 1.436 Ac
-1.491 -0.906 5.622 Ac
12.880 0.906 2.750 Ac
10.701 -0.906 6.937 Ac
3.456 2.632 3.512 La
4.087 0.897 0.059 La
1.909 -0.897 4.245 La
2.965 0.699 6.975 La
10.112 2.632 0.674 La
5.143 -0.699 2.788 La
6.245 0.699 5.584 La
1.277 -2.632 7.698 La
8.424 -0.699 1.398 La
9.480 0.897 4.127 La
7.301 -0.897 8.313 La
7.933 -2.632 4.860 La
6.784 2.652 2.093 Tb
4.605 -2.652 6.279 Tb
```

Properties
**Space group**: C2/c (15)
**ΔE_f**: 1.496 kcal/mol of atoms

***

Entry 13:
Compound: Rb2SnAs2O6
Source: Alexandria
Functional: PBE
Structure: optimized geometry

POSCAR file:
```
Rb2SnAs2O6
1.0
3.104 1.792 6.427
-3.104 1.792 6.427
0.000 -3.584 6.427
Rb Sn As O
2 1 2 6
Cartesian
0.000 0.000 4.265 Rb
0.000 0.000 15.017 Rb
0.000 0.000 0.000 Sn
0.000 0.000 8.392 As
0.000 0.000 10.890 As
0.000 -1.671 7.947 O
-1.448 0.836 7.947 O
-1.448 -0.836 11.335 O
1.448 0.836 7.947 O
1.448 -0.836 11.335 O
0.000 1.671 11.335 O
```

Properties
**Space group**: R-3m (166)
**Formation energy from raw total energies**: -1397.9 meV per atom

***

Entry 14:
Compound: BeCdO2F
Source: Alexandria
Functional: PBE
Structure: optimized geometry

POSCAR file:
```
BeCdO2F
1.0
3.529 0.000 0.000
0.000 3.529 0.000
0.000 0.000 3.833
Be Cd O F
1 1 2 1
Cartesian
0.000 0.000 0.000 Be
1.764 1.764 1.917 Cd
0.000 1.764 0.000 O
1.764 0.000 0.000 O
0.000 0.000 1.917 F
```

Properties
**Space group**: P4/mmm (123)
**Formation energy from raw total energies**: -1449.6 meV per atom

***

Entry 15:
Compound: TeRuBr2
Source: Alexandria
Functional: PBE
Structure: optimized geometry

POSCAR file:
```
TeRuBr2
1.0
2.628 -7.061 0.000
2.628 7.061 0.000
0.000 0.000 3.377
Te Ru Br
1 1 2
Cartesian
0.000 0.000 0.000 Te
2.628 0.000 0.000 Ru
2.628 1.908 1.688 Br
2.628 -1.908 1.688 Br
```

Properties
**Space group**: Cmmm (65)
**Formation energy from raw total energies**: -15.8 meV per atom

***

Entry 16:
Compound: Cs6Na2Br
Source: Alexandria
Functional: PBE
Structure: optimized geometry

POSCAR file:
```
Cs6Na2Br
1.0
10.027 0.000 0.000
0.000 10.024 0.000
-10.023 0.000 14.895
Cs Na Br
12 4 2
Cartesian
-3.008 1.996 7.422 Cs
-8.020 3.016 14.869 Cs
0.035 10.020 3.800 Cs
-4.976 5.015 11.248 Cs
-2.000 7.017 7.426 Cs
-7.011 8.019 14.873 Cs
7.015 2.005 0.021 Cs
2.003 3.007 7.469 Cs
-0.032 0.004 11.094 Cs
4.980 5.008 3.647 Cs
8.023 7.007 0.025 Cs
3.012 8.028 7.473 Cs
-5.021 0.037 11.182 Na
-0.010 4.975 3.735 Na
0.013 5.049 11.160 Na
5.025 9.987 3.712 Na
0.002 0.000 7.447 Br
5.013 5.012 0.000 Br
```

Properties
**Space group**: P2_1/c (14)
**Formation energy from raw total energies**: -353.4 meV per atom

***

Entry 17:
Compound: KTcCl2
Source: Alexandria
Functional: PBE
Structure: optimized geometry

POSCAR file:
```
KTcCl2
1.0
3.495 -2.657 0.000
3.495 2.657 0.000
-2.333 0.000 6.213
K Tc Cl
1 1 2
Cartesian
0.000 0.000 0.000 K
2.328 0.000 3.106 Tc
0.342 0.000 4.466 Cl
4.315 0.000 1.747 Cl
```

Properties
**Space group**: C2/m (12)
**Formation energy from raw total energies**: -306.9 meV per atom

***

Number 1: volume 79 Å³/f.u., electronic total energy -5.44 eV/atom. Number 2: volume 228 Å³/f.u., electronic total energy -5.91 eV/atom. Number 3: volume 187 Å³/f.u., electronic total energy -5.28 eV/atom. Number 4: volume 277 Å³/f.u., electronic total energy -5.41 eV/atom. Number 5: volume 79 Å³/f.u., electronic total energy -3.11 eV/atom. Number 6: volume 168 Å³/f.u., electronic total energy -1.99 eV/atom. Number 7: volume 90 Å³/f.u., electronic total energy -3.66 eV/atom. Number 8: volume 59 Å³/f.u., electronic total energy -7.20 eV/atom. Number 9: volume 164 Å³/f.u., electronic total energy -7.62 eV/atom. Number 10: volume 162 Å³/f.u., electronic total energy -5.23 eV/atom. Number 11: volume 271 Å³/f.u., electronic total energy -4.98 eV/atom. Number 12: volume 341 Å³/f.u., electronic total energy -4.65 eV/atom. Number 13: volume 214 Å³/f.u., electronic total energy -5.49 eV/atom. Number 14: volume 48 Å³/f.u., electronic total energy -4.74 eV/atom. Number 15: volume 125 Å³/f.u., electronic total energy -3.96 eV/atom. Number 16: volume 748 Å³/f.u., electronic total energy -1.40 eV/atom. Number 17: volume 115 Å³/f.u., electronic total energy -4.10 eV/atom.